# Mn2PbN PBE-GGA optimized geometry
data_Mn2PbN
_space_group_name_H-M_alt 'F m -3 m'
_space_group_IT_number 225
_space_group_name_Hall '-F 4 2 3'
_cell_length_a 5.9842
_cell_length_b 5.9842
_cell_length_c 5.9842
_cell_angle_alpha 90.00
_cell_angle_beta 90.00
_cell_angle_gamma 90.00
loop_
_atom_site_label
_atom_site_fract_x
_atom_site_fract_y
_atom_site_fract_z
Mn1 0.2500 0.2500 0.2500
Pb1 0.0000 0.0000 0.0000
N1 0.0000 0.0000 0.5000
# * energy: -5.949 eV per atom


# Ho4TmAgS8 PBE-GGA optimized geometry
data_Ho4TmAgS8
_space_group_name_H-M_alt 'R 3 m'
_space_group_IT_number 160
_space_group_name_Hall 'R 3 -2"'
_cell_length_a 7.9888
_cell_length_b 7.9888
_cell_length_c 19.4948
_cell_angle_alpha 90.00
_cell_angle_beta 90.00
_cell_angle_gamma 120.00
loop_
_atom_site_label
_atom_site_fract_x
_atom_site_fract_y
_atom_site_fract_z
Ho1 0.0000 0.0000 0.0000
Ho2 0.0116 0.5058 0.1261
Tm1 0.0000 0.0000 0.6202
Ag1 0.0000 0.0000 0.2493
S1 0.0000 0.0000 0.3824
S2 0.0000 0.0000 0.8663
S3 0.0240 0.5120 0.3767
S4 0.1777 0.3554 0.2060
# * energy: -6.023 eV per atom


# Pm8Pr2Nd3 PBE-GGA optimized geometry
data_Pm8Pr2Nd3
_space_group_name_H-M_alt 'C 1 2/m 1'
_space_group_IT_number 12
_cell_length_a 13.3711
_cell_length_b 11.9124
_cell_length_c 6.2654
_cell_angle_alpha 90.00
_cell_angle_beta 113.56
_cell_angle_gamma 90.00
loop_
_space_group_symop_operation_xyz
'x,y,z'
'-x,-y,-z'
'-x,y,-z'
'x,-y,z'
'x+1/2,y+1/2,z'
'-x+1/2,-y+1/2,-z'
'-x+1/2,y+1/2,-z'
'x+1/2,-y+1/2,z'
loop_
_atom_site_label
_atom_site_fract_x
_atom_site_fract_y
_atom_site_fract_z
Pm1 0.0547 0.0000 0.2793
Pm2 0.1551 0.5000 0.5509
Pm3 0.1727 0.2434 0.1761
Pr1 0.2113 0.0000 0.8475
Nd1 0.0000 0.2587 0.5000
Nd2 0.0000 0.5000 0.0000
# * energy: -4.609 eV per atom
# * calculated formation energy: 151 meV per atom


| no. | DOS(E_F) (states/eV per cell) | total magnetization (μB/f.u.) | density (g/cm3) |
| --- | --- | --- | --- |
| 1 | 48.2 | 0.00 | 10.26 |
| 2 | 0.0 | 0.00 | 5.52 |
| 3 | 41.4 | 0.00 | 6.81 |